Entry 1:
Material: Ac2TbSn2
Method: DFT, PBE
State: relaxed

a = 10.009 Å, b = 10.009 Å, c = 6.959 Å
α = 90.00°, β = 90.00°, γ = 149.32°
Element x y z (fractional)
Ac: 0.000 0.000 0.000
Ac: 0.000 0.000 0.500
Ac: 0.197 0.803 0.751
Ac: 0.803 0.197 0.251
Tb: 0.399 0.601 0.749
Tb: 0.601 0.399 0.249
Sn: 0.179 0.821 0.251
Sn: 0.426 0.574 0.251
Sn: 0.574 0.426 0.751
Sn: 0.821 0.179 0.751

polymorph energy (0 for the lowest one)	58	meV/atom
total moment	0.00	μB/f.u.
symmetry	Cmc2_1 (36)
energy of formation from the pure elements	-585.9	meV per atom
ρ	7941	kg/m³
energy	-23.8	eV/f.u.

Entry 2:
Material: ZrAl2Pt2
Method: DFT, PBE
State: relaxed

a = 6.586 Å, b = 6.586 Å, c = 6.586 Å
α = 146.30°, β = 146.30°, γ = 48.40°
Element x y z (fractional)
Zr: 0.000 0.000 0.000
Al: 0.250 0.750 0.500
Al: 0.750 0.250 0.500
Pt: 0.389 0.389 0.000
Pt: 0.611 0.611 0.000

polymorph energy (0 for the lowest one)	0	meV/atom
total moment	0.00	μB/f.u.
symmetry	I4/mmm (139)
energy of formation from the pure elements	-919.6	meV per atom
ρ	10152	kg/m³
energy	-32.7	eV/f.u.

Entry 3:
Material: CeTmAs
Method: DFT, PBE
State: relaxed

a = 4.790 Å, b = 4.790 Å, c = 4.021 Å
α = 90.00°, β = 90.00°, γ = 120.00°
Element x y z (fractional)
Ce: 0.000 0.000 0.000
Tm: 0.667 0.333 0.500
As: 0.333 0.667 0.502

total moment	1.80	μB/f.u.
symmetry	P3m1 (156)
energy of formation from the pure elements	-551.4	meV per atom
ρ	7980	kg/m³
energy	-16.7	eV/f.u.

Entry 4:
Material: NaPuClF6
Method: DFT, PBE
State: relaxed

a = 5.581 Å, b = 5.849 Å, c = 6.041 Å
α = 89.45°, β = 67.40°, γ = 86.49°
Element x y z (fractional)
Na: 0.000 0.000 0.000
Pu: 0.001 0.500 0.500
Cl: 0.500 0.999 0.000
F: 0.060 0.313 0.767
F: 0.087 0.788 0.642
F: 0.380 0.441 0.289
F: 0.622 0.559 0.710
F: 0.915 0.212 0.357
F: 0.942 0.686 0.232

total moment	3.25	μB/f.u.
symmetry	P1 (1)
ρ	3806	kg/m³
energy	-52.3	eV/f.u.

Entry 5:
Material: LiHo5Rh4
Method: DFT, PBE
State: relaxed

a = 3.434 Å, b = 3.434 Å, c = 17.837 Å
α = 90.00°, β = 90.00°, γ = 90.00°
Element x y z (fractional)
Li: 0.000 0.000 0.000
Ho: 0.500 0.500 0.123
Ho: 0.500 0.500 0.310
Ho: 0.500 0.500 0.500
Ho: 0.500 0.500 0.690
Ho: 0.500 0.500 0.877
Rh: 0.000 0.000 0.211
Rh: 0.000 0.000 0.405
Rh: 0.000 0.000 0.595
Rh: 0.000 0.000 0.789

total moment	0.00	μB/f.u.
symmetry	P4/mmm (123)
energy of formation from the pure elements	-719.1	meV per atom
ρ	9812	kg/m³
energy	-61.4	eV/f.u.

Entry 6:
Material: SrCu2Ni2
Method: DFT, PBE
State: relaxed

a = 7.307 Å, b = 7.307 Å, c = 2.848 Å
α = 90.00°, β = 90.00°, γ = 90.00°
Element x y z (fractional)
Sr: 0.000 0.000 0.000
Sr: 0.500 0.500 0.000
Cu: 0.165 0.335 0.500
Cu: 0.335 0.835 0.500
Cu: 0.665 0.165 0.500
Cu: 0.835 0.665 0.500
Ni: 0.122 0.622 0.000
Ni: 0.378 0.122 0.000
Ni: 0.622 0.878 0.000
Ni: 0.878 0.378 0.000

polymorph energy (0 for the lowest one)	98	meV/atom
total moment	0.00	μB/f.u.
symmetry	P4/mbm (127)
energy of formation from the pure elements	176.7	meV per atom
ρ	7254	kg/m³
energy	-20.6	eV/f.u.

Entry 7:
Material: NaLi2CrCl6
Method: DFT, PBE
State: relaxed

a = 8.227 Å, b = 8.227 Å, c = 6.741 Å
α = 95.05°, β = 95.05°, γ = 87.95°
Element x y z (fractional)
Na: 0.085 0.915 0.750
Na: 0.915 0.085 0.250
Li: 0.236 0.423 0.698
Li: 0.423 0.236 0.198
Li: 0.577 0.764 0.802
Li: 0.764 0.577 0.302
Cr: 0.264 0.736 0.250
Cr: 0.736 0.264 0.750
Cl: 0.008 0.232 0.640
Cl: 0.151 0.634 0.934
Cl: 0.232 0.008 0.140
Cl: 0.284 0.469 0.358
Cl: 0.366 0.849 0.566
Cl: 0.469 0.284 0.858
Cl: 0.531 0.716 0.142
Cl: 0.634 0.151 0.434
Cl: 0.716 0.531 0.642
Cl: 0.768 0.992 0.860
Cl: 0.849 0.366 0.066
Cl: 0.992 0.768 0.360

total moment	3.00	μB/f.u.
symmetry	C2/c (15)
ρ	2213	kg/m³
energy	-40.9	eV/f.u.

Entry 8:
Material: NbOF3
Method: DFT, PBE
State: relaxed

a = 5.579 Å, b = 5.579 Å, c = 9.722 Å
α = 90.00°, β = 90.00°, γ = 90.00°
Element x y z (fractional)
Nb: 0.061 0.592 0.000
Nb: 0.408 0.061 0.250
Nb: 0.592 0.939 0.750
Nb: 0.939 0.408 0.500
O: 0.203 0.451 0.587
O: 0.451 0.797 0.337
O: 0.549 0.203 0.837
O: 0.797 0.549 0.087
F: 0.048 0.343 0.868
F: 0.093 0.178 0.353
F: 0.178 0.907 0.103
F: 0.277 0.408 0.122
F: 0.343 0.952 0.618
F: 0.408 0.723 0.872
F: 0.592 0.277 0.372
F: 0.657 0.048 0.118
F: 0.723 0.592 0.622
F: 0.822 0.093 0.603
F: 0.907 0.822 0.853
F: 0.952 0.657 0.368

total moment	0.00	μB/f.u.
symmetry	P4_1 (76)
ρ	3642	kg/m³
energy	-34.8	eV/f.u.

Entry 9:
Material: K2Sn3Au
Method: DFT, PBE
State: relaxed

a = 7.236 Å, b = 7.236 Å, c = 8.431 Å
α = 124.96°, β = 124.96°, γ = 37.64°
Element x y z (fractional)
K: 0.000 0.000 0.000
K: 0.507 0.507 0.530
Sn: 0.249 0.249 0.916
Sn: 0.737 0.737 0.425
Sn: 0.776 0.776 0.130
Au: 0.261 0.261 0.605

total moment	0.00	μB/f.u.
symmetry	Cm (8)
energy of formation from the pure elements	-249.9	meV per atom
ρ	4885	kg/m³
energy	-19.0	eV/f.u.

Entry 10:
Material: V2ZnIr2
Method: DFT, PBE
State: relaxed

a = 7.350 Å, b = 7.350 Å, c = 2.767 Å
α = 90.00°, β = 90.00°, γ = 90.00°
Element x y z (fractional)
V: 0.163 0.337 0.000
V: 0.337 0.837 0.000
V: 0.663 0.163 0.000
V: 0.837 0.663 0.000
Zn: 0.000 0.000 0.500
Zn: 0.500 0.500 0.500
Ir: 0.133 0.633 0.500
Ir: 0.367 0.133 0.500
Ir: 0.633 0.867 0.500
Ir: 0.867 0.367 0.500

total moment	0.00	μB/f.u.
symmetry	P4/mbm (127)
energy of formation from the pure elements	-314.8	meV per atom
ρ	12256	kg/m³
energy	-38.8	eV/f.u.

Entry 11:
Material: MgRu3Rh
Method: DFT, PBE
State: relaxed

a = 4.679 Å, b = 4.679 Å, c = 4.679 Å
α = 90.00°, β = 90.00°, γ = 90.00°
Element x y z (fractional)
Mg: 0.000 0.000 0.000
Ru: 0.000 0.500 0.500
Ru: 0.500 0.000 0.500
Ru: 0.500 0.500 0.000
Rh: 0.500 0.500 0.500

polymorph energy (0 for the lowest one)	0	meV/atom
total moment	1.57	μB/f.u.
symmetry	Pm-3m (221)
energy of formation from the pure elements	1532.2	meV per atom
ρ	6977	kg/m³
energy	-29.1	eV/f.u.

Entry 12:
Material: Dy2Th8Sc3
Method: DFT, PBE
State: relaxed

a = 8.613 Å, b = 8.613 Å, c = 5.849 Å
α = 105.27°, β = 105.27°, γ = 82.83°
Element x y z (fractional)
Dy: 0.196 0.196 0.361
Dy: 0.804 0.804 0.639
Th: 0.070 0.070 0.792
Th: 0.088 0.579 0.331
Th: 0.356 0.356 0.915
Th: 0.421 0.912 0.669
Th: 0.579 0.088 0.331
Th: 0.644 0.644 0.085
Th: 0.912 0.421 0.669
Th: 0.930 0.930 0.208
Sc: 0.248 0.752 0.000
Sc: 0.500 0.500 0.500
Sc: 0.752 0.248 0.000

total moment	0.00	μB/f.u.
symmetry	C2/m (12)
energy of formation from the pure elements	240.2	meV per atom
ρ	9543	kg/m³
energy	-84.4	eV/f.u.